Record 1
# CaTlRe2B

A geometry-optimized CaTlRe2B structure (PBE, the Alexandria database).

abc: 4.237 4.851 4.237
angles: 90.00 90.00 90.00
Fractional coordinates of all 5 atoms:
Re: 0.000 0.000 0.500
Re: 0.500 0.000 0.000
Tl: 0.500 0.500 0.500
B: 0.000 0.000 0.000
Ca: 0.000 0.500 0.000

Size of the total moment, μB/cell: 0.0
ΔH_f (0 K), eV/atom: 0.486
Symmetry: No. 123

=====

Record 2
# CaV2ReB

A geometry-optimized CaV2ReB structure (PBE, the Alexandria database).

abc: 4.179 4.694 4.179
angles: 90.00 90.00 90.00
Fractional coordinates of all 5 atoms:
Re: 0.000 0.500 0.000
Ca: 0.000 0.000 0.000
B: 0.500 0.500 0.500
V: 0.000 0.000 0.500
V: 0.500 0.000 0.000

Size of the total moment, μB/cell: 0.0
ΔE to the lowest computed polymorph, kJ/mol of formula units: 1140.1
ΔH_f (0 K), eV/atom: 3.220
Symmetry: No. 123